Ce4Se2Cl3 PBE optimized geometry; VASP energy = -5.809 eV/atom; ΔE_f (raw) = -1782 meV per atom
1.0
3.5882 -2.0716 0.0000
3.5882 2.0716 0.0000
-0.0192 0.0000 16.5649
Ce Se Cl
4 2 3
Direct
0.0008 0.0008 0.3004
0.3336 0.3336 0.0979
0.6664 0.6664 0.9021
0.9992 0.9992 0.6996
0.3328 0.3328 0.8002
0.6672 0.6672 0.1998
0.0000 0.0000 0.0000
0.3344 0.3344 0.3996
0.6656 0.6656 0.6004